(1)
# La3ZnIn3, optimized geometry, DFT PBE-GGA
data_La3ZnIn3
_cell_length_a 11.627
_cell_length_b 4.855
_cell_length_c 15.658
_cell_angle_alpha 90.00
_cell_angle_beta 109.07
_cell_angle_gamma 90.00
_space_group_name_H-M_alt 'C 1 2/m 1'
_space_group_IT_number 12
loop_
_space_group_symop_operation_xyz
'x,y,z'
'-x,-y,-z'
'-x,y,-z'
'x,-y,z'
'x+1/2,y+1/2,z'
'-x+1/2,-y+1/2,-z'
'-x+1/2,y+1/2,-z'
'x+1/2,-y+1/2,z'
loop_
_atom_site_label
_atom_site_type_symbol
_atom_site_fract_x
_atom_site_fract_y
_atom_site_fract_z
La1 La 0.051 0.000 0.390
La2 La 0.091 0.000 0.915
La3 La 0.247 0.000 0.223
Zn1 Zn 0.250 0.000 0.607
In1 In 0.043 0.500 0.240
In2 In 0.118 0.500 0.073
In3 In 0.136 0.500 0.546
# - calculated total energy (eV/atom) = -3.93
# - energy of formation from the pure elements (eV/atom) = -0.466
# - calculated density (g/cm³) = 6.573


(2)
# Sc4Tl2C, optimized geometry, DFT PBE-GGA
data_Sc4Tl2C
_cell_length_a 4.558
_cell_length_b 4.558
_cell_length_c 14.621
_cell_angle_alpha 90.00
_cell_angle_beta 90.00
_cell_angle_gamma 90.00
_space_group_name_H-M_alt 'I 4/m m m'
_space_group_IT_number 139
_space_group_name_Hall '-I 4 2'
loop_
_atom_site_label
_atom_site_type_symbol
_atom_site_fract_x
_atom_site_fract_y
_atom_site_fract_z
Sc1 Sc 0.000 0.000 0.157
Sc2 Sc 0.000 0.500 0.000
Tl1 Tl 0.000 0.000 0.362
C1 C 0.000 0.000 0.000
# - calculated total energy (eV/atom) = -6.00
# - energy of formation from the pure elements (eV/atom) = -0.389
# - energy above the most stable polymorph in this dataset (meV per atom) = 0.0
# - calculated density (g/cm³) = 6.568